[1]
VASP calculation (PBE) on crystalline ZrInFePd at its relaxed geometry.

Results
V in Å³ per atom: 17.17
Uncorrected energy in eV/atom: -6.540
Formation enthalpy at 0 K in eV per atom: -0.305
Crystal system: cubic
Total magnetic moment in μB per formula unit: 1.3
Space group: F-43m (216)

a b c (Å): 4.5966 4.5966 4.5966
angles (deg): 60.00 60.00 60.00
Last column: nearest neighbours and their distance in Å.
Fractional positions:
Zr1 0.0000 0.0000 0.0000  4 Fe 2.81, 4 Pd 2.81
In1 0.5000 0.5000 0.5000  4 Fe 2.81, 4 Pd 2.81
Fe1 0.7500 0.7500 0.7500  4 Zr 2.81, 4 In 2.81
Pd1 0.2500 0.2500 0.2500  4 Zr 2.81, 4 In 2.81

=====

[2]
VASP calculation (PBE) on crystalline ZnSb2P at its relaxed geometry.

Results
V in Å³ per atom: 21.24
Uncorrected energy in eV/atom: -3.380
Crystal system: orthorhombic
Relative energy among the computed polymorphs in eV/atom: 0.2598
Total magnetic moment in μB per formula unit: 0.0
Space group: Pmmm (47)

a b c (Å): 3.5416 4.8567 4.9404
angles (deg): 90.00 90.00 90.00
Last column: nearest neighbours and their distance in Å.
Fractional positions:
Zn1 0.0000 0.0000 0.0000  8 Sb 3.01-3.04
Sb1 0.5000 0.0000 0.5000  4 P 3.01, 4 Zn 3.04
Sb2 0.5000 0.5000 0.0000  4 Zn 3.01, 4 P 3.04
P1 0.0000 0.5000 0.5000  8 Sb 3.01-3.04

=====

[3]
VASP calculation (PBE) on crystalline Ba2ZnPdPt at its relaxed geometry.

Results
V in Å³ per atom: 33.72
Uncorrected energy in eV/atom: -3.326
Formation enthalpy at 0 K in eV per atom: -0.055
Crystal system: tetragonal
Total magnetic moment in μB per formula unit: 0.0
Space group: P4/mmm (123)

a b c (Å): 6.0647 6.0647 4.5845
angles (deg): 90.00 90.00 90.00
Last column: nearest neighbours and their distance in Å.
Fractional positions:
Ba1 0.0000 0.5000 0.0000  2 Zn 3.03
Ba2 0.5000 0.0000 0.0000  2 Zn 3.03
Zn1 0.0000 0.0000 0.0000  2 Pd 2.29
Pd1 0.0000 0.0000 0.5000  2 Zn 2.29
Pt1 0.5000 0.5000 0.5000  8 Ba 3.80

=====

[4]
VASP calculation (PBE) on crystalline SrErS2 at its relaxed geometry.

Results
V in Å³ per atom: 23.48
Uncorrected energy in eV/atom: -5.645
Crystal system: monoclinic
Relative energy among the computed polymorphs in eV/atom: 0.0000
Total magnetic moment in μB per formula unit: 0.0
Space group: C2/m (12)

a b c (Å): 4.0082 4.0082 7.1319
angles (deg): 106.21 106.21 60.01
Last column: nearest neighbours and their distance in Å.
Fractional positions:
Sr1 0.0000 0.0000 0.0000  6 S 2.96-2.97
Er1 0.5000 0.5000 0.5000  6 S 2.77
S1 0.2419 0.2419 0.7257  3 Er 2.77, 3 Sr 2.96-2.97
S2 0.7581 0.7581 0.2743  3 Er 2.77, 3 Sr 2.96-2.97

=====

[5]
VASP calculation (PBE) on crystalline Pu2AlGa9 at its relaxed geometry.

Results
V in Å³ per atom: 19.02
Uncorrected energy in eV/atom: -5.197
Formation enthalpy at 0 K in eV per atom: -0.227
Crystal system: tetragonal
Total magnetic moment in μB per formula unit: 11.1
Space group: P4/mmm (123)

a b c (Å): 4.2643 4.2643 12.5496
angles (deg): 90.00 90.00 90.00
Last column: nearest neighbours and their distance in Å.
Fractional positions:
Pu1 0.0000 0.0000 0.1749  12 Ga 3.02-3.06
Pu2 0.0000 0.0000 0.8251  12 Ga 3.02-3.06
Al1 0.0000 0.0000 0.5000  12 Ga 2.87-3.02
Ga1 0.0000 0.5000 0.0000  8 Ga 2.93-3.02, 4 Pu 3.06
Ga2 0.0000 0.5000 0.3469  8 Ga 2.87-3.17, 2 Al 2.87, 2 Pu 3.03
Ga3 0.0000 0.5000 0.6531  8 Ga 2.87-3.17, 2 Al 2.87, 2 Pu 3.03
Ga4 0.5000 0.0000 0.0000  8 Ga 2.93-3.02, 4 Pu 3.06
Ga5 0.5000 0.0000 0.3469  8 Ga 2.87-3.17, 2 Al 2.87, 2 Pu 3.03
Ga6 0.5000 0.0000 0.6531  8 Ga 2.87-3.17, 2 Al 2.87, 2 Pu 3.03
Ga7 0.5000 0.5000 0.1601  8 Ga 2.93-3.17, 4 Pu 3.02
Ga8 0.5000 0.5000 0.5000  8 Ga 2.87, 4 Al 3.02
Ga9 0.5000 0.5000 0.8399  8 Ga 2.93-3.17, 4 Pu 3.02

=====

[6]
VASP calculation (PBE) on crystalline ZnTc2NiP at its relaxed geometry.

Results
V in Å³ per atom: 17.32
Uncorrected energy in eV/atom: -4.814
Formation enthalpy at 0 K in eV per atom: 1.825
Crystal system: tetragonal
Total magnetic moment in μB per formula unit: 0.0
Space group: P4/mmm (123)

a b c (Å): 4.5936 4.5936 4.1038
angles (deg): 90.00 90.00 90.00
Last column: nearest neighbours and their distance in Å.
Fractional positions:
Zn1 0.0000 0.0000 0.0000  2 P 2.05, 4 Tc 2.30
Tc1 0.0000 0.5000 0.0000  2 Zn 2.30
Tc2 0.5000 0.0000 0.0000  2 Zn 2.30
Ni1 0.5000 0.5000 0.5000  8 Tc 3.08, 4 P 3.25
P1 0.0000 0.0000 0.5000  2 Zn 2.05

=====

> Among the records above, which one has the lowest uncorrected energy?

ZrInFePd